Model A:
Crystalline NiBiSeN2 at its relaxed geometry. Source: the Alexandria database, functional PBE-GGA.

Cell: 3.9896 3.9896 4.8836 Å, 90.00 90.00 90.00°
Space group P4/mmm (No. 123)
Symmetry-distinct sites (fractional):
1 Ni 0.0000 0.0000 0.0000 x1
2 Bi 0.5000 0.5000 0.5000 x1
3 Se 0.0000 0.0000 0.5000 x1
4 N 0.0000 0.5000 0.0000 x2

magnetization: 2.46 μB per formula unit
crystal system: tetragonal

Model B:
Crystalline NiBiSeN2 at its relaxed geometry. Source: the Alexandria database, functional PBE-GGA.

Cell: 4.2446 4.2446 5.8232 Å, 90.00 90.00 90.00°
Space group P4/mmm (No. 123)
Symmetry-distinct sites (fractional):
1 Ni 0.0000 0.0000 0.0000 x1
2 Bi 0.5000 0.5000 0.5000 x1
3 Se 0.5000 0.5000 0.0000 x1
4 N 0.0000 0.5000 0.5000 x2

magnetization: 3.40 μB per formula unit
crystal system: tetragonal

Which of them is the most stable? Correct choice: model A.